Version i
PrSnPdPt | GGA-PBE | optimized geometry

The structure belongs to space group P-3m1 (No. 164); the cell edges are 4.6439, 4.6439 and 9.3477 Å and the angles 90.00°, 90.00° and 120.00°. Symmetry generates all atoms from Pr at (0.3333, 0.6667, 0.2469), Sn at (0.0000, 0.0000, 0.0000), Sn at (0.0000, 0.0000, 0.5000), Pd at (0.3333, 0.6667, 0.5804) and Pt at (0.3333, 0.6667, 0.9125).

The theoretical density comes out at 10.67 Mg/m³.

=====

Version ii
PrSnPdPt | GGA-PBE | optimized geometry

The structure belongs to space group P6_3mc (No. 186); the cell edges are 4.6430, 4.6430 and 9.3544 Å and the angles 90.00°, 90.00° and 120.00°. Symmetry generates all atoms from Pr at (0.3333, 0.6667, 0.0000), Sn at (0.0000, 0.0000, 0.2543), Pd at (0.3333, 0.6667, 0.6667) and Pt at (0.3333, 0.6667, 0.3344).

The theoretical density comes out at 10.67 Mg/m³.

=====

Which is the most stable structure? version ii is the most stable.

=====

Version i
PrRePd | GGA-PBE | optimized geometry

The structure belongs to space group F-43m (No. 216); the cell edges are 6.6570, 6.6570 and 6.6570 Å and the angles 90.00°, 90.00° and 90.00°. Symmetry generates all atoms from Pr at (0.0000, 0.0000, 0.0000), Re at (0.2500, 0.2500, 0.7500) and Pd at (0.2500, 0.2500, 0.2500).

The theoretical density comes out at 9.76 Mg/m³.

=====

Version ii
PrRePd | GGA-PBE | optimized geometry

The structure belongs to space group F-43m (No. 216); the cell edges are 6.5998, 6.5998 and 6.5998 Å and the angles 90.00°, 90.00° and 90.00°. Symmetry generates all atoms from Pr at (0.0000, 0.0000, 0.0000), Re at (0.0000, 0.0000, 0.5000) and Pd at (0.2500, 0.2500, 0.2500).

The theoretical density comes out at 10.02 Mg/m³.

=====

Which is the most stable structure? version ii is the most stable.

=====

Version i
PrTlPd | GGA-PBE | optimized geometry

The structure belongs to space group Pnma (No. 62); the cell edges are 7.2912, 4.7090 and 8.5214 Å and the angles 90.00°, 90.00° and 90.00°. Symmetry generates all atoms from Pr at (0.0285, 0.2500, 0.1912), Tl at (0.1610, 0.2500, 0.5685) and Pd at (0.2477, 0.7500, 0.3924).

The theoretical density comes out at 10.25 Mg/m³.

=====

Version ii
PrTlPd | GGA-PBE | optimized geometry

The structure belongs to space group P6_3/mmc (No. 194); the cell edges are 5.2195, 5.2195 and 6.3541 Å and the angles 90.00°, 90.00° and 120.00°. Symmetry generates all atoms from Pr at (0.3333, 0.6667, 0.2500), Tl at (0.3333, 0.6667, 0.7500) and Pd at (0.0000, 0.0000, 0.0000).

The theoretical density comes out at 10.01 Mg/m³.

=====

Version iii
PrTlPd | GGA-PBE | optimized geometry

The structure belongs to space group P-62m (No. 189); the cell edges are 7.4762, 7.4762 and 4.5968 Å and the angles 90.00°, 90.00° and 120.00°. Symmetry generates all atoms from Pr at (0.0000, 0.5704, 0.0000), Tl at (0.0000, 0.0000, 0.0000), Tl at (0.3333, 0.6667, 0.5000) and Pd at (0.0000, 0.2372, 0.5000).

The theoretical density comes out at 10.11 Mg/m³.

=====

Version iv
PrTlPd | GGA-PBE | optimized geometry

The structure belongs to space group P-62m (No. 189); the cell edges are 7.8846, 7.8846 and 4.0411 Å and the angles 90.00°, 90.00° and 120.00°. Symmetry generates all atoms from Pr at (0.0000, 0.5917, 0.0000), Tl at (0.0000, 0.2585, 0.5000), Pd at (0.0000, 0.0000, 0.0000) and Pd at (0.3333, 0.6667, 0.5000).

The theoretical density comes out at 10.34 Mg/m³.

=====

Which is the most stable structure? version iv is the most stable.

=====

Version i
PrTlPd | GGA-PBE | optimized geometry

The structure belongs to space group Pmma (No. 51); the cell edges are 14.0006, 3.9391 and 8.0229 Å and the angles 90.00°, 90.00° and 90.00°. Symmetry generates all atoms from Pr at (0.0486, 0.0000, 0.2322), Pr at (0.2500, 0.0000, 0.8488), Tl at (0.1158, 0.5000, 0.5740), Tl at (0.2500, 0.5000, 0.1904), Pd at (0.0939, 0.5000, 0.9399) and Pd at (0.2500, 0.0000, 0.4511).

The theoretical density comes out at 10.17 Mg/m³.

=====

Version ii
PrTlPd | GGA-PBE | optimized geometry

The structure belongs to space group P6_3/mmc (No. 194); the cell edges are 4.8802, 4.8802 and 7.0886 Å and the angles 90.00°, 90.00° and 120.00°. Symmetry generates all atoms from Pr at (0.0000, 0.0000, 0.0000), Tl at (0.3333, 0.6667, 0.2500) and Pd at (0.3333, 0.6667, 0.7500).

The theoretical density comes out at 10.26 Mg/m³.

=====

Which is the most stable structure? version i is the most stable.